Entry 1:
# AlVRu2Au, optimized geometry, DFT PBE
data_AlVRu2Au
_chemical_formula_sum 'Al1 V1 Ru2 Au1'
_cell_length_a 4.877
_cell_length_b 4.877
_cell_length_c 4.532
_cell_angle_alpha 90.00
_cell_angle_beta 90.00
_cell_angle_gamma 90.00
_space_group_name_H-M_alt 'P 4/m m m'
_space_group_IT_number 123
_space_group_name_Hall '-P 4 2'
loop_
_atom_site_label
_atom_site_fract_x
_atom_site_fract_y
_atom_site_fract_z
Al1 0.000 0.000 0.000
V1 0.500 0.500 0.000
Ru1 0.000 0.500 0.500
Au1 0.500 0.500 0.500
# Total moment ... 0.1 μB per formula unit
# Fermi-level density of states ... 2.686 states/eV per atom
# Total energy ... -25.4 eV per cell

=====

Entry 2:
# Y2BBr, optimized geometry, DFT PBE
data_Y2BBr
_chemical_formula_sum 'Y8 B4 Br4'
_cell_length_a 6.930
_cell_length_b 6.930
_cell_length_c 6.930
_cell_angle_alpha 90.00
_cell_angle_beta 90.00
_cell_angle_gamma 90.00
_space_group_name_H-M_alt 'F m -3 m'
_space_group_IT_number 225
_space_group_name_Hall '-F 4 2 3'
loop_
_atom_site_label
_atom_site_fract_x
_atom_site_fract_y
_atom_site_fract_z
Y1 0.250 0.250 0.250
B1 0.000 0.000 0.000
Br1 0.000 0.000 0.500
# Total moment ... 0.0 μB per formula unit
# Fermi-level density of states ... 0.091 states/eV per atom
# Formation energy without anion corrections ... -0.1505 eV per atom
# Total energy ... -87.5 eV per cell

=====

Entry 3:
# Tb9Er4Tl11, optimized geometry, DFT PBE
data_Tb9Er4Tl11
_chemical_formula_sum 'Tb18 Er8 Tl22'
_cell_length_a 16.191
_cell_length_b 22.948
_cell_length_c 3.587
_cell_angle_alpha 90.00
_cell_angle_beta 90.00
_cell_angle_gamma 90.00
_space_group_name_H-M_alt 'C m m m'
_space_group_IT_number 65
_space_group_name_Hall '-C 2 2'
loop_
_atom_site_label
_atom_site_fract_x
_atom_site_fract_y
_atom_site_fract_z
Tb1 0.000 0.000 0.000
Tb2 0.112 0.408 0.000
Tb3 0.114 0.229 0.000
Er1 0.165 0.082 0.000
Tl1 0.000 0.123 0.500
Tl2 0.000 0.315 0.500
Tl3 0.000 0.500 0.500
Tl4 0.218 0.500 0.500
Tl5 0.232 0.321 0.500
# Total moment ... 0.0 μB per formula unit
# Fermi-level density of states ... 0.887 states/eV per atom
# Total energy ... -184.7 eV per cell

=====

Entry 4:
# CaAc2Sb3Pd12, optimized geometry, DFT PBE
data_CaAc2Sb3Pd12
_chemical_formula_sum 'Ca3 Ac6 Sb9 Pd36'
_cell_length_a 9.5900
_cell_length_b 9.5900
_cell_length_c 13.6687
_cell_angle_alpha 90.00
_cell_angle_beta 90.00
_cell_angle_gamma 120.00
_space_group_name_H-M_alt 'R -3 m'
_space_group_IT_number 166
_space_group_name_Hall '-R 3 2"'
loop_
_atom_site_label
_atom_site_fract_x
_atom_site_fract_y
_atom_site_fract_z
Ca1 0.0000 0.0000 0.0000
Ac1 0.0000 0.0000 0.3454
Sb1 0.0000 0.5000 0.5000
Pd1 0.0032 0.5016 0.6957
Pd2 0.0147 0.5073 0.8935
# Total moment ... 0.0 μB per formula unit
# Fermi-level density of states ... 0.382 states/eV per atom
# Formation energy without anion corrections ... -0.5282 eV per atom
# Total energy ... -283.2 eV per cell

=====

> Which formula does entry 2 have?

Y2BBr